No. 1
## AcScB12 (GGA-PBE)

Data for crystalline AcScB12 at its relaxed geometry.

Computed properties:
Its symmetry is P4/mmm (123). The formation energy comes out at -0.369 eV per atom. For the density of states at the Fermi level, the calculation gives 1.3 states/eV/f.u.

Structure (CIF):
```
data_AcScB12
_chemical_formula_sum 'Ac1 Sc1 B12'
_symmetry_space_group_name_H-M 'P 1'
_symmetry_Int_Tables_number 1
_symmetry_space_group_name_Hall 'P 1'
_cell_length_a 4.147
_cell_length_b 4.147
_cell_length_c 8.266
_cell_angle_alpha 90.00
_cell_angle_beta 90.00
_cell_angle_gamma 90.00
loop_
_atom_site_label
_atom_site_type_symbol
_atom_site_fract_x
_atom_site_fract_y
_atom_site_fract_z
Ac1 Ac 0.000 0.000 0.000
Sc1 Sc 0.000 0.000 0.500
B1 B 0.200 0.500 0.255
B2 B 0.200 0.500 0.745
B3 B 0.500 0.200 0.255
B4 B 0.500 0.200 0.745
B5 B 0.500 0.500 0.103
B6 B 0.500 0.500 0.403
B7 B 0.500 0.500 0.597
B8 B 0.500 0.500 0.897
B9 B 0.500 0.800 0.255
B10 B 0.500 0.800 0.745
B11 B 0.800 0.500 0.255
B12 B 0.800 0.500 0.745
```

---

No. 2
## AcBSe (GGA-PBE)

Data for crystalline AcBSe at its relaxed geometry.

Computed properties:
The uncorrected formation energy is -517.8 meV/atom. Its symmetry is C2/m (12). For the density of states at the Fermi level, the calculation gives 0.1 states/eV/f.u.

Structure (CIF):
```
data_AcBSe
_chemical_formula_sum 'Ac2 B2 Se2'
_symmetry_space_group_name_H-M 'P 1'
_symmetry_Int_Tables_number 1
_symmetry_space_group_name_Hall 'P 1'
_cell_length_a 4.846
_cell_length_b 4.846
_cell_length_c 7.251
_cell_angle_alpha 91.04
_cell_angle_beta 91.04
_cell_angle_gamma 71.30
loop_
_atom_site_label
_atom_site_type_symbol
_atom_site_fract_x
_atom_site_fract_y
_atom_site_fract_z
Ac1 Ac 0.190 0.190 0.275
Ac2 Ac 0.810 0.810 0.725
B1 B 0.440 0.440 0.583
B2 B 0.560 0.560 0.417
Se1 Se 0.195 0.195 0.836
Se2 Se 0.805 0.805 0.164
```

---

No. 3
## Ac6BSe12 (GGA-PBE)

Data for crystalline Ac6BSe12 at its relaxed geometry.

Computed properties:
The uncorrected formation energy is -1321.5 meV/atom. Its symmetry is R-3 (148). For the density of states at the Fermi level, the calculation gives 21.8 states/eV/f.u.

Structure (CIF):
```
data_Ac6BSe12
_chemical_formula_sum 'Ac6 B1 Se12'
_symmetry_space_group_name_H-M 'P 1'
_symmetry_Int_Tables_number 1
_symmetry_space_group_name_Hall 'P 1'
_cell_length_a 8.596
_cell_length_b 8.596
_cell_length_c 8.596
_cell_angle_alpha 99.24
_cell_angle_beta 99.24
_cell_angle_gamma 99.24
loop_
_atom_site_label
_atom_site_type_symbol
_atom_site_fract_x
_atom_site_fract_y
_atom_site_fract_z
Ac1 Ac 0.133 0.286 0.621
Ac2 Ac 0.286 0.621 0.133
Ac3 Ac 0.379 0.867 0.714
Ac4 Ac 0.621 0.133 0.286
Ac5 Ac 0.714 0.379 0.867
Ac6 Ac 0.867 0.714 0.379
B1 B 0.000 0.000 0.000
Se1 Se 0.027 0.946 0.723
Se2 Se 0.054 0.277 0.973
Se3 Se 0.178 0.583 0.446
Se4 Se 0.277 0.973 0.054
Se5 Se 0.417 0.554 0.822
Se6 Se 0.446 0.178 0.583
Se7 Se 0.554 0.822 0.417
Se8 Se 0.583 0.446 0.178
Se9 Se 0.723 0.027 0.946
Se10 Se 0.822 0.417 0.554
Se11 Se 0.946 0.723 0.027
Se12 Se 0.973 0.054 0.277
```

---

No. 4
## AcB4Se12 (GGA-PBE)

Data for crystalline AcB4Se12 at its relaxed geometry.

Computed properties:
The uncorrected formation energy is 405.9 meV/atom. Its symmetry is Im-3 (204). For the density of states at the Fermi level, the calculation gives 10.0 states/eV/f.u.

Structure (CIF):
```
data_AcB4Se12
_chemical_formula_sum 'Ac1 B4 Se12'
_symmetry_space_group_name_H-M 'P 1'
_symmetry_Int_Tables_number 1
_symmetry_space_group_name_Hall 'P 1'
_cell_length_a 7.656
_cell_length_b 7.656
_cell_length_c 7.656
_cell_angle_alpha 109.47
_cell_angle_beta 109.47
_cell_angle_gamma 109.47
loop_
_atom_site_label
_atom_site_type_symbol
_atom_site_fract_x
_atom_site_fract_y
_atom_site_fract_z
Ac1 Ac 0.000 0.000 0.000
B1 B 0.000 0.000 0.500
B2 B 0.000 0.500 0.000
B3 B 0.500 0.000 0.000
B4 B 0.500 0.500 0.500
Se1 Se 0.148 0.318 0.465
Se2 Se 0.148 0.682 0.830
Se3 Se 0.170 0.852 0.318
Se4 Se 0.318 0.170 0.852
Se5 Se 0.318 0.465 0.148
Se6 Se 0.465 0.148 0.318
Se7 Se 0.535 0.852 0.682
Se8 Se 0.682 0.535 0.852
Se9 Se 0.682 0.830 0.148
Se10 Se 0.830 0.148 0.682
Se11 Se 0.852 0.318 0.170
Se12 Se 0.852 0.682 0.535
```

---

No. 5
## AcB2Se6 (GGA-PBE)

Data for crystalline AcB2Se6 at its relaxed geometry.

Computed properties:
The uncorrected formation energy is -491.3 meV/atom. Its symmetry is C2/c (15). For the density of states at the Fermi level, the calculation gives 1.2 states/eV/f.u.

Structure (CIF):
```
data_AcB2Se6
_chemical_formula_sum 'Ac2 B4 Se12'
_symmetry_space_group_name_H-M 'P 1'
_symmetry_Int_Tables_number 1
_symmetry_space_group_name_Hall 'P 1'
_cell_length_a 8.928
_cell_length_b 8.928
_cell_length_c 6.203
_cell_angle_alpha 104.70
_cell_angle_beta 104.70
_cell_angle_gamma 81.50
loop_
_atom_site_label
_atom_site_type_symbol
_atom_site_fract_x
_atom_site_fract_y
_atom_site_fract_z
Ac1 Ac 0.200 0.800 0.750
Ac2 Ac 0.800 0.200 0.250
B1 B 0.229 0.324 0.799
B2 B 0.324 0.229 0.299
B3 B 0.676 0.771 0.701
B4 B 0.771 0.676 0.201
Se1 Se 0.062 0.509 0.844
Se2 Se 0.108 0.132 0.648
Se3 Se 0.132 0.108 0.148
Se4 Se 0.317 0.408 0.581
Se5 Se 0.408 0.317 0.081
Se6 Se 0.491 0.938 0.656
Se7 Se 0.509 0.062 0.344
Se8 Se 0.592 0.683 0.919
Se9 Se 0.683 0.592 0.419
Se10 Se 0.868 0.892 0.852
Se11 Se 0.892 0.868 0.352
Se12 Se 0.938 0.491 0.156
```

---

No. 6
## Ac5BSe4 (GGA-PBE)

Data for crystalline Ac5BSe4 at its relaxed geometry.

Computed properties:
The uncorrected formation energy is -1477.6 meV/atom. Its symmetry is I4/m (87). For the density of states at the Fermi level, the calculation gives 3.6 states/eV/f.u.

Structure (CIF):
```
data_Ac5BSe4
_chemical_formula_sum 'Ac5 B1 Se4'
_symmetry_space_group_name_H-M 'P 1'
_symmetry_Int_Tables_number 1
_symmetry_space_group_name_Hall 'P 1'
_cell_length_a 7.721
_cell_length_b 7.721
_cell_length_c 7.721
_cell_angle_alpha 99.53
_cell_angle_beta 99.53
_cell_angle_gamma 131.97
loop_
_atom_site_label
_atom_site_type_symbol
_atom_site_fract_x
_atom_site_fract_y
_atom_site_fract_z
Ac1 Ac 0.000 0.000 0.000
Ac2 Ac 0.222 0.407 0.629
Ac3 Ac 0.407 0.778 0.185
Ac4 Ac 0.593 0.222 0.815
Ac5 Ac 0.778 0.593 0.371
B1 B 0.500 0.500 0.000
Se1 Se 0.095 0.697 0.792
Se2 Se 0.303 0.095 0.398
Se3 Se 0.697 0.905 0.602
Se4 Se 0.905 0.303 0.208
```

---

Number 1: spin magnetization 0.000 μB per atom. Number 2: spin magnetization 0.000 μB per atom. Number 3: spin magnetization 0.000 μB per atom. Number 4: spin magnetization 0.000 μB per atom. Number 5: spin magnetization 0.000 μB per atom. Number 6: spin magnetization 0.000 μB per atom.